Record 1
# Ga2SnPb, relaxed, DFT PBE
data_Ga2SnPb
_space_group_name_H-M_alt 'P 4/m m m'
_space_group_IT_number 123
_space_group_name_Hall '-P 4 2'
_cell_length_a 4.664
_cell_length_b 4.664
_cell_length_c 4.580
_cell_angle_alpha 90.00
_cell_angle_beta 90.00
_cell_angle_gamma 90.00
loop_
_atom_site_label
_atom_site_type_symbol
_atom_site_fract_x
_atom_site_fract_y
_atom_site_fract_z
Ga1 Ga 0.000 0.500 0.000
Sn1 Sn 0.000 0.000 0.500
Pb1 Pb 0.500 0.500 0.500
# Distance to the lowest polymorph of the same formula (meV/atom): 18
# ΔH_f (0 K) (eV/atom): 0.066
# Electronic total energy (eV per atom): -3.3753

Record 2
# K2ReHg, relaxed, DFT PBE
data_K2ReHg
_space_group_name_H-M_alt 'C m m 2'
_space_group_IT_number 35
_space_group_name_Hall 'C 2 -2'
_cell_length_a 4.208
_cell_length_b 4.217
_cell_length_c 11.988
_cell_angle_alpha 90.00
_cell_angle_beta 90.00
_cell_angle_gamma 90.00
loop_
_atom_site_label
_atom_site_type_symbol
_atom_site_fract_x
_atom_site_fract_y
_atom_site_fract_z
K1 K 0.000 0.000 0.000
K2 K 0.000 0.500 0.359
Re1 Re 0.000 0.000 0.586
Hg1 Hg 0.000 0.500 0.770
# ΔH_f (0 K) (eV/atom): 1.077
# Electronic total energy (eV per atom): -2.6591

Record 3
# LiTi2CuH, relaxed, DFT PBE
data_LiTi2CuH
_space_group_name_H-M_alt 'P 4/m m m'
_space_group_IT_number 123
_space_group_name_Hall '-P 4 2'
_cell_length_a 4.007
_cell_length_b 4.007
_cell_length_c 3.806
_cell_angle_alpha 90.00
_cell_angle_beta 90.00
_cell_angle_gamma 90.00
loop_
_atom_site_label
_atom_site_type_symbol
_atom_site_fract_x
_atom_site_fract_y
_atom_site_fract_z
Li1 Li 0.000 0.000 0.000
Ti1 Ti 0.000 0.500 0.500
Cu1 Cu 0.500 0.500 0.000
H1 H 0.000 0.000 0.500
# Electronic total energy (eV per atom): -5.0728

What did the second record say?
# K2ReHg, relaxed, DFT PBE
data_K2ReHg
_space_group_name_H-M_alt 'C m m 2'
_space_group_IT_number 35
_space_group_name_Hall 'C 2 -2'
_cell_length_a 4.208
_cell_length_b 4.217
_cell_length_c 11.988
_cell_angle_alpha 90.00
_cell_angle_beta 90.00
_cell_angle_gamma 90.00
loop_
_atom_site_label
_atom_site_type_symbol
_atom_site_fract_x
_atom_site_fract_y
_atom_site_fract_z
K1 K 0.000 0.000 0.000
K2 K 0.000 0.500 0.359
Re1 Re 0.000 0.000 0.586
Hg1 Hg 0.000 0.500 0.770
# ΔH_f (0 K) (eV/atom): 1.077
# Electronic total energy (eV per atom): -2.6591